A plane-wave DFT calculation with PBE-GGA was carried out for a relaxed Y15Ho4In crystal.

POSCAR file:
```
Y15Ho4In
1.0
4.984 0.000 0.000
0.000 4.984 0.000
0.000 0.000 25.265
Y Ho In
15 4 1
Direct
0.500 0.500 0.000
0.500 0.500 0.195
0.500 0.500 0.399
0.500 0.500 0.601
0.500 0.500 0.805
0.500 0.000 0.096
0.500 0.000 0.298
0.500 0.000 0.500
0.500 0.000 0.702
0.500 0.000 0.904
0.000 0.500 0.096
0.000 0.500 0.298
0.000 0.500 0.500
0.000 0.500 0.702
0.000 0.500 0.904
0.000 0.000 0.198
0.000 0.000 0.399
0.000 0.000 0.601
0.000 0.000 0.802
0.000 0.000 0.000
```

Results
- symmetry = P4/mmm, No. 123
- calculated total energy (eV per atom) = -5.93
- energy of formation (kJ/mol of atoms) = -2.9


A plane-wave DFT calculation with PBE-GGA was carried out for a relaxed Y6HoIn3 crystal.

POSCAR file:
```
Y6HoIn3
1.0
7.611 0.000 0.000
0.000 9.341 -0.634
0.000 -2.702 8.964
Y Ho In
12 2 6
Direct
0.106 0.763 0.695
0.606 0.695 0.763
0.291 0.544 0.923
0.791 0.923 0.544
0.286 0.956 0.044
0.637 0.297 0.703
0.137 0.703 0.297
0.786 0.044 0.956
0.291 0.077 0.456
0.791 0.456 0.077
0.106 0.305 0.237
0.606 0.237 0.305
0.082 0.199 0.801
0.582 0.801 0.199
0.433 0.988 0.723
0.933 0.723 0.988
0.321 0.442 0.558
0.821 0.558 0.442
0.933 0.012 0.277
0.433 0.277 0.012
```

Results
- symmetry = Cmc2_1, No. 36
- calculated total energy (eV per atom) = -5.31
- energy of formation (kJ/mol of atoms) = -15.0


A plane-wave DFT calculation with PBE-GGA was carried out for a relaxed Y7HoIn4 crystal.

POSCAR file:
```
Y7HoIn4
1.0
5.654 0.000 0.000
2.827 8.821 0.498
2.827 0.735 7.219
Y Ho In
7 1 4
Direct
0.789 0.878 0.544
0.211 0.122 0.456
0.063 0.607 0.267
0.937 0.393 0.733
0.282 0.660 0.777
0.500 0.000 0.000
0.718 0.340 0.223
0.000 0.000 0.000
0.560 0.242 0.637
0.440 0.758 0.363
0.682 0.666 0.971
0.318 0.334 0.029
```

Results
- symmetry = C2/m, No. 12
- calculated total energy (eV per atom) = -5.19
- energy of formation (kJ/mol of atoms) = -12.0


> The highest calculated total energy belongs to which entry?

Y7HoIn4


> Which formula does entry 3 have?

Y7HoIn4


> Among the records above, which one has the lowest calculated total energy?

Y15Ho4In